No. 1
# TaSiIr (PBE, relaxed)
data_TaSiIr
_cell_length_a 6.4277
_cell_length_b 3.8209
_cell_length_c 10.9969
_cell_angle_alpha 90.00
_cell_angle_beta 90.58
_cell_angle_gamma 90.00
_symmetry_space_group_name_H-M 'P 1 21/m 1'
_symmetry_Int_Tables_number 11
loop_
_symmetry_equiv_pos_as_xyz
'x,y,z'
'-x,-y,-z'
'-x,y+1/2,-z'
'x,-y+1/2,z'
loop_
_atom_site_label
_atom_site_type_symbol
_atom_site_fract_x
_atom_site_fract_y
_atom_site_fract_z
Ta1 Ta 0.0183 0.2500 0.2100
Ta2 Ta 0.3485 0.7500 0.5772
Ta3 Ta 0.4699 0.7500 0.8841
Si1 Si 0.2378 0.7500 0.0850
Si2 Si 0.2393 0.2500 0.4154
Si3 Si 0.2725 0.2500 0.7510
Ir1 Ir 0.0180 0.2500 0.5924
Ir2 Ir 0.1472 0.2500 0.9587
Ir3 Ir 0.3652 0.7500 0.2927
# - Calculated density: 14.803 Mg/m³
# - E_form (uncorrected): -0.77 eV per atom
# - DOS(E_F): 0.9 states/eV/f.u.
# - Calculated volume: 15.00 A^3/atom
# - Spin magnetization: 0.000 μB/atom
# - DFT total energy: -9.49 eV/atom

No. 2
# KCoAs2 (PBE, relaxed)
data_KCoAs2
_cell_length_a 6.6972
_cell_length_b 6.6972
_cell_length_c 6.6972
_cell_angle_alpha 90.00
_cell_angle_beta 90.00
_cell_angle_gamma 90.00
_symmetry_space_group_name_H-M 'F m -3 m'
_symmetry_Int_Tables_number 225
_symmetry_space_group_name_Hall '-F 4 2 3'
loop_
_atom_site_label
_atom_site_type_symbol
_atom_site_fract_x
_atom_site_fract_y
_atom_site_fract_z
K1 K 0.0000 0.0000 0.0000
Co1 Co 0.0000 0.0000 0.5000
As1 As 0.2500 0.2500 0.2500
# - Calculated density: 5.481 Mg/m³
# - Formation energy from the elements: 2.0 eV/f.u.
# - DOS(E_F): 3.0 states/eV/f.u.
# - Calculated volume: 18.77 A^3/atom
# - Spin magnetization: 0.193 μB/atom
# - Distance to the lowest polymorph of the same formula: 730.4 meV/atom
# - DFT total energy: -3.89 eV/atom